(1)
Entry from Alexandria via LeMat-Bulk: a relaxed structure of DyY2Pu (GGA-PBE).

Crystal system   trigonal
Energy of formation from the pure elements   0.40 eV per formula unit
DOS(E_F)   11.0 states/eV/cell

Lattice parameters (Å, degrees): 11.5711 11.5711 11.5711 17.68 17.68 17.68
Sites, in units of the cell vectors:
Dy1 0.0000 0.0000 0.0000
Y1 0.5820 0.5820 0.5820
Y2 0.7505 0.7505 0.7505
Pu1 0.1658 0.1658 0.1658



(2)
Entry from Alexandria via LeMat-Bulk: a relaxed structure of PrSm2Th4 (GGA-PBE).

Crystal system   orthorhombic
Energy of formation from the pure elements   0.59 eV per formula unit
DOS(E_F)   10.8 states/eV/cell

Lattice parameters (Å, degrees): 18.3720 18.3720 3.5878 90.00 90.00 168.77
Sites, in units of the cell vectors:
Pr1 0.0000 0.0000 0.0000
Sm1 0.2932 0.7068 0.5000
Sm2 0.7068 0.2932 0.5000
Th1 0.1394 0.8606 0.0000
Th2 0.4270 0.5730 0.5000
Th3 0.5730 0.4270 0.5000
Th4 0.8606 0.1394 0.0000



(3)
Entry from Alexandria via LeMat-Bulk: a relaxed structure of Mo2PSe (GGA-PBE).

Crystal system   tetragonal
Formation energy (no corrections)   -0.178 eV/atom
DOS(E_F)   3.1 states/eV/cell

Lattice parameters (Å, degrees): 3.2458 3.2458 6.0164 90.00 90.00 90.00
Sites, in units of the cell vectors:
Mo1 0.0000 0.0000 0.0000
Mo2 0.5000 0.5000 0.3202
P1 0.0000 0.0000 0.4452
Se1 0.5000 0.5000 0.7922



(4)
Entry from Alexandria via LeMat-Bulk: a relaxed structure of MgTe3S (GGA-PBE).

Crystal system   cubic
Formation energy (no corrections)   0.593 eV/atom
DOS(E_F)   5.3 states/eV/cell

Lattice parameters (Å, degrees): 5.3740 5.3740 5.3740 90.00 90.00 90.00
Sites, in units of the cell vectors:
Mg1 0.0000 0.0000 0.0000
Te1 0.0000 0.0000 0.5000
Te2 0.0000 0.5000 0.0000
Te3 0.5000 0.0000 0.0000
S1 0.5000 0.5000 0.5000



(5)
Entry from Alexandria via LeMat-Bulk: a relaxed structure of MoPBr (GGA-PBE).

Crystal system   trigonal
Formation energy (no corrections)   -0.033 eV/atom
DOS(E_F)   2.4 states/eV/cell

Lattice parameters (Å, degrees): 3.3553 3.3553 6.2556 90.00 90.00 120.00
Sites, in units of the cell vectors:
Mo1 0.0000 0.0000 0.0000
P1 0.6667 0.3333 0.2241
Br1 0.3333 0.6667 0.6909



(6)
Entry from Alexandria via LeMat-Bulk: a relaxed structure of AgRuI3 (GGA-PBE).

Crystal system   cubic
Formation energy (no corrections)   0.981 eV/atom
DOS(E_F)   4.8 states/eV/cell

Lattice parameters (Å, degrees): 5.6713 5.6713 5.6713 90.00 90.00 90.00
Sites, in units of the cell vectors:
Ag1 0.0000 0.0000 0.0000
Ru1 0.5000 0.5000 0.5000
I1 0.0000 0.0000 0.5000
I2 0.0000 0.5000 0.0000
I3 0.5000 0.0000 0.0000



(7)
Entry from Alexandria via LeMat-Bulk: a relaxed structure of CeNpGaOs (GGA-PBE).

Crystal system   cubic
Energy of formation from the pure elements   -0.45 eV per formula unit
DOS(E_F)   10.8 states/eV/cell

Lattice parameters (Å, degrees): 4.7769 4.7769 4.7769 60.00 60.00 60.00
Sites, in units of the cell vectors:
Ce1 0.0000 0.0000 0.0000
Np1 0.7500 0.7500 0.7500
Ga1 0.2500 0.2500 0.2500
Os1 0.5000 0.5000 0.5000



(8)
Entry from Alexandria via LeMat-Bulk: a relaxed structure of Cs2RbCdHg (GGA-PBE).

Crystal system   monoclinic
Energy of formation from the pure elements   -0.53 eV per formula unit
DOS(E_F)   7.7 states/eV/cell

Lattice parameters (Å, degrees): 8.3963 5.6038 12.3922 90.00 90.42 90.00
Sites, in units of the cell vectors:
Cs1 0.2489 0.2500 0.0503
Cs2 0.2496 0.2500 0.4531
Cs3 0.7504 0.7500 0.5469
Cs4 0.7511 0.7500 0.9497
Rb1 0.2598 0.7500 0.7508
Rb2 0.7402 0.2500 0.2492
Cd1 0.0643 0.7500 0.2506
Cd2 0.9357 0.2500 0.7494
Hg1 0.4254 0.7500 0.2533
Hg2 0.5746 0.2500 0.7467



Copy entry 1 word for word.
Entry from Alexandria via LeMat-Bulk: a relaxed structure of DyY2Pu (GGA-PBE).

Crystal system   trigonal
Energy of formation from the pure elements   0.40 eV per formula unit
DOS(E_F)   11.0 states/eV/cell

Lattice parameters (Å, degrees): 11.5711 11.5711 11.5711 17.68 17.68 17.68
Sites, in units of the cell vectors:
Dy1 0.0000 0.0000 0.0000
Y1 0.5820 0.5820 0.5820
Y2 0.7505 0.7505 0.7505
Pu1 0.1658 0.1658 0.1658